(1)
This record from the Alexandria database describes a relaxed structure of Cd2BrN. The functional is PBE-GGA.

**Space-group type**: No. 122
**ρ**: 5.46 Mg/m³
**Formation energy from raw total energies**: -0.07 eV per atom
**DOS at the Fermi energy**: 0.0 states/eV/f.u.
**E**: -24.19 eV for the cell shown

Lattice parameters (Å, degrees): 5.9761 5.9761 6.8771 64.25 64.25 90.00
Closest atoms and distances in Å follow each position.
Fractional coordinates of all 8 atoms:
N: 0.5000 0.5000 0.0000  4 Cd 2.15
N: 0.2500 0.7500 0.5000  4 Cd 2.15
Br: 0.0000 0.0000 0.0000  4 Cd 3.03
Br: 0.7500 0.2500 0.5000  4 Cd 3.03
Cd: 0.4968 0.1250 0.2500  2 N 2.15
Cd: 0.2532 0.6250 0.2500  2 N 2.15
Cd: 0.3750 0.5032 0.7500  2 N 2.15
Cd: 0.8750 0.7468 0.7500  2 N 2.15


(2)
This record from the Alexandria database describes a relaxed structure of Sr2CaTl2Pb4. The functional is PBE-GGA.

**Space-group type**: No. 71
**ρ**: 7.92 Mg/m³
**DOS at the Fermi energy**: 6.3 states/eV/f.u.
**E**: -27.74 eV for the cell shown

Lattice parameters (Å, degrees): 7.5523 7.5584 7.6040 120.22 120.20 90.14
Closest atoms and distances in Å follow each position.
Fractional coordinates of all 9 atoms:
Sr: 0.2522 0.7483 0.5004  4 Tl 3.76-3.82, 8 Pb 3.79-3.81
Sr: 0.7478 0.2517 0.4996  4 Tl 3.76-3.82, 8 Pb 3.79-3.81
Ca: 0.0000 0.0000 0.0000  2 Tl 3.03, 4 Pb 3.06
Tl: 0.7169 0.2833 0.0001  1 Ca 3.03, 4 Pb 3.25
Tl: 0.2831 0.7167 0.9999  1 Ca 3.03, 4 Pb 3.25
Pb: 0.7137 0.7134 0.0002  1 Ca 3.06, 2 Pb 3.20-3.24, 2 Tl 3.25
Pb: 0.7137 0.7136 0.4270  1 Ca 3.06, 2 Pb 3.20-3.24, 2 Tl 3.25
Pb: 0.2863 0.2866 0.9998  1 Ca 3.06, 2 Pb 3.20-3.24, 2 Tl 3.25
Pb: 0.2863 0.2864 0.5730  1 Ca 3.06, 2 Pb 3.20-3.24, 2 Tl 3.25


(3)
This record from the Alexandria database describes a relaxed structure of ScTc2Se. The functional is PBE-GGA.

**Space-group type**: No. 123
**ρ**: 8.01 Mg/m³
**Formation energy from raw total energies**: -0.11 eV per atom
**DOS at the Fermi energy**: 3.1 states/eV/f.u.
**E**: -30.98 eV for the cell shown

Lattice parameters (Å, degrees): 4.8696 3.6907 3.6907 90.00 90.00 90.00
Closest atoms and distances in Å follow each position.
Fractional coordinates of all 4 atoms:
Sc: 0.5000 0.5000 0.0000  4 Se 2.61
Se: 0.5000 0.0000 0.5000  4 Sc 2.61
Tc: 0.0000 0.0000 0.0000  4 Tc 2.61
Tc: 0.0000 0.5000 0.5000  4 Tc 2.61


(4)
This record from the Alexandria database describes a relaxed structure of SrSb2TePb. The functional is PBE-GGA.

**Space-group type**: No. 123
**ρ**: 5.14 Mg/m³
**Formation energy from raw total energies**: 0.48 eV per atom
**DOS at the Fermi energy**: 5.3 states/eV/f.u.
**E**: -14.38 eV for the cell shown

Lattice parameters (Å, degrees): 5.9685 5.9685 6.0351 90.00 90.00 90.00
Closest atoms and distances in Å follow each position.
Fractional coordinates of all 5 atoms:
Pb: 0.5000 0.5000 0.5000  4 Te 4.22, 8 Sb 4.24
Sb: 0.0000 0.5000 0.0000  2 Sr 2.98
Sb: 0.5000 0.0000 0.0000  2 Sr 2.98
Te: 0.0000 0.0000 0.5000  2 Sr 3.02
Sr: 0.0000 0.0000 0.0000  4 Sb 2.98, 2 Te 3.02